[1]
# BeHgF3 (GGA-PBE, relaxed)
# * space group: Pm-3m, No. 221
# * formation energy without anion corrections: -593 meV/atom
# * volume: 18.61 Å³/atom
# * electronic total energy: -2.52 eV per atom
data_BeHgF3
_space_group_name_H-M_alt 'P 1'
_space_group_IT_number 1
_cell_length_a 4.532
_cell_length_b 4.532
_cell_length_c 4.532
_cell_angle_alpha 90.00
_cell_angle_beta 90.00
_cell_angle_gamma 90.00
loop_
_space_group_symop_operation_xyz
'x,y,z'
loop_
_atom_site_label
_atom_site_type_symbol
_atom_site_fract_x
_atom_site_fract_y
_atom_site_fract_z
Hg1 Hg 0.000 0.000 0.000
Be1 Be 0.500 0.500 0.500
F1 F 0.000 0.500 0.000
F2 F 0.500 0.000 0.000
F3 F 0.000 0.000 0.500


[2]
# ZrReTe2N (GGA-PBE, relaxed)
# * space group: P4/mmm, No. 123
# * formation energy without anion corrections: 989 meV/atom
# * volume: 25.68 Å³/atom
# * electronic total energy: -6.13 eV per atom
data_ZrReTe2N
_space_group_name_H-M_alt 'P 1'
_space_group_IT_number 1
_cell_length_a 5.696
_cell_length_b 5.696
_cell_length_c 3.958
_cell_angle_alpha 90.00
_cell_angle_beta 90.00
_cell_angle_gamma 90.00
loop_
_space_group_symop_operation_xyz
'x,y,z'
loop_
_atom_site_label
_atom_site_type_symbol
_atom_site_fract_x
_atom_site_fract_y
_atom_site_fract_z
Zr1 Zr 0.000 0.000 0.000
Te1 Te 0.500 0.000 0.000
Te2 Te 0.000 0.500 0.000
Re1 Re 0.500 0.500 0.500
N1 N 0.000 0.000 0.500


[3]
# AgBi2Pd7 (GGA-PBE, relaxed)
# * space group: Cmmm, No. 65
# * calculated formation energy: 0.09 eV per atom
# * volume: 20.23 Å³/atom
# * electronic total energy: -4.61 eV per atom
data_AgBi2Pd7
_space_group_name_H-M_alt 'P 1'
_space_group_IT_number 1
_cell_length_a 3.014
_cell_length_b 9.068
_cell_length_c 9.068
_cell_angle_alpha 125.29
_cell_angle_beta 90.00
_cell_angle_gamma 90.00
loop_
_space_group_symop_operation_xyz
'x,y,z'
loop_
_atom_site_label
_atom_site_type_symbol
_atom_site_fract_x
_atom_site_fract_y
_atom_site_fract_z
Pd1 Pd 0.500 0.316 0.135
Pd2 Pd 0.500 0.500 0.500
Pd3 Pd 0.500 0.135 0.316
Pd4 Pd 0.000 0.177 0.823
Pd5 Pd 0.000 0.823 0.177
Pd6 Pd 0.500 0.684 0.865
Pd7 Pd 0.500 0.865 0.684
Bi1 Bi 0.500 0.320 0.680
Bi2 Bi 0.500 0.680 0.320
Ag1 Ag 0.000 0.000 0.000


[4]
# Ti2CuCl (GGA-PBE, relaxed)
# * space group: Fm-3m, No. 225
# * formation energy without anion corrections: 70 meV/atom
# * volume: 15.23 Å³/atom
# * electronic total energy: -5.36 eV per atom
data_Ti2CuCl
_space_group_name_H-M_alt 'P 1'
_space_group_IT_number 1
_cell_length_a 4.417
_cell_length_b 4.417
_cell_length_c 4.417
_cell_angle_alpha 60.00
_cell_angle_beta 60.00
_cell_angle_gamma 60.00
loop_
_space_group_symop_operation_xyz
'x,y,z'
loop_
_atom_site_label
_atom_site_type_symbol
_atom_site_fract_x
_atom_site_fract_y
_atom_site_fract_z
Cu1 Cu 0.500 0.500 0.500
Ti1 Ti 0.250 0.250 0.250
Ti2 Ti 0.750 0.750 0.750
Cl1 Cl 0.000 0.000 0.000


[5]
# CuHO2F (GGA-PBE, relaxed)
# * space group: P4/mmm, No. 123
# * volume: 10.94 Å³/atom
# * electronic total energy: -3.47 eV per atom
data_CuHO2F
_space_group_name_H-M_alt 'P 1'
_space_group_IT_number 1
_cell_length_a 3.740
_cell_length_b 3.740
_cell_length_c 3.912
_cell_angle_alpha 90.00
_cell_angle_beta 90.00
_cell_angle_gamma 90.00
loop_
_space_group_symop_operation_xyz
'x,y,z'
loop_
_atom_site_label
_atom_site_type_symbol
_atom_site_fract_x
_atom_site_fract_y
_atom_site_fract_z
H1 H 0.500 0.500 0.500
Cu1 Cu 0.000 0.000 0.000
F1 F 0.000 0.000 0.500
O1 O 0.000 0.500 0.000
O2 O 0.500 0.000 0.000


[6]
# PmPuBiPb (GGA-PBE, relaxed)
# * space group: F-43m, No. 216
# * calculated formation energy: -0.34 eV per atom
# * volume: 29.91 Å³/atom
# * electronic total energy: -7.01 eV per atom
data_PmPuBiPb
_space_group_name_H-M_alt 'P 1'
_space_group_IT_number 1
_cell_length_a 5.531
_cell_length_b 5.531
_cell_length_c 5.531
_cell_angle_alpha 60.00
_cell_angle_beta 60.00
_cell_angle_gamma 60.00
loop_
_space_group_symop_operation_xyz
'x,y,z'
loop_
_atom_site_label
_atom_site_type_symbol
_atom_site_fract_x
_atom_site_fract_y
_atom_site_fract_z
Pm1 Pm 0.750 0.750 0.750
Bi1 Bi 0.500 0.500 0.500
Pb1 Pb 0.000 0.000 0.000
Pu1 Pu 0.250 0.250 0.250


[7]
# Pr3ErSn3 (GGA-PBE, relaxed)
# * space group: C2/m, No. 12
# * calculated formation energy: -0.46 eV per atom
# * volume: 33.67 Å³/atom
# * electronic total energy: -4.88 eV per atom
data_Pr3ErSn3
_space_group_name_H-M_alt 'P 1'
_space_group_IT_number 1
_cell_length_a 8.038
_cell_length_b 8.038
_cell_length_c 7.945
_cell_angle_alpha 89.96
_cell_angle_beta 89.96
_cell_angle_gamma 113.34
loop_
_space_group_symop_operation_xyz
'x,y,z'
loop_
_atom_site_label
_atom_site_type_symbol
_atom_site_fract_x
_atom_site_fract_y
_atom_site_fract_z
Er1 Er 0.290 0.290 0.095
Er2 Er 0.710 0.710 0.905
Sn1 Sn 0.156 0.504 0.315
Sn2 Sn 0.948 0.948 0.187
Sn3 Sn 0.504 0.156 0.315
Sn4 Sn 0.496 0.844 0.685
Sn5 Sn 0.844 0.496 0.685
Sn6 Sn 0.052 0.052 0.813
Pr1 Pr 0.369 0.369 0.641
Pr2 Pr 0.847 0.153 0.500
Pr3 Pr 0.225 0.775 0.000
Pr4 Pr 0.631 0.631 0.359
Pr5 Pr 0.775 0.225 0.000
Pr6 Pr 0.153 0.847 0.500


[8]
# CeGa3Cu (GGA-PBE, relaxed)
# * space group: I-4m2, No. 119
# * calculated formation energy: -0.45 eV per atom
# * volume: 18.70 Å³/atom
# * electronic total energy: -4.27 eV per atom
data_CeGa3Cu
_space_group_name_H-M_alt 'P 1'
_space_group_IT_number 1
_cell_length_a 6.053
_cell_length_b 6.053
_cell_length_c 6.053
_cell_angle_alpha 139.27
_cell_angle_beta 139.27
_cell_angle_gamma 58.96
loop_
_space_group_symop_operation_xyz
'x,y,z'
loop_
_atom_site_label
_atom_site_type_symbol
_atom_site_fract_x
_atom_site_fract_y
_atom_site_fract_z
Ce1 Ce 0.000 0.000 0.000
Ga1 Ga 0.383 0.383 0.000
Ga2 Ga 0.617 0.617 0.000
Ga3 Ga 0.750 0.250 0.500
Cu1 Cu 0.250 0.750 0.500


Repeat the seventh record exactly.
# Pr3ErSn3 (GGA-PBE, relaxed)
# * space group: C2/m, No. 12
# * calculated formation energy: -0.46 eV per atom
# * volume: 33.67 Å³/atom
# * electronic total energy: -4.88 eV per atom
data_Pr3ErSn3
_space_group_name_H-M_alt 'P 1'
_space_group_IT_number 1
_cell_length_a 8.038
_cell_length_b 8.038
_cell_length_c 7.945
_cell_angle_alpha 89.96
_cell_angle_beta 89.96
_cell_angle_gamma 113.34
loop_
_space_group_symop_operation_xyz
'x,y,z'
loop_
_atom_site_label
_atom_site_type_symbol
_atom_site_fract_x
_atom_site_fract_y
_atom_site_fract_z
Er1 Er 0.290 0.290 0.095
Er2 Er 0.710 0.710 0.905
Sn1 Sn 0.156 0.504 0.315
Sn2 Sn 0.948 0.948 0.187
Sn3 Sn 0.504 0.156 0.315
Sn4 Sn 0.496 0.844 0.685
Sn5 Sn 0.844 0.496 0.685
Sn6 Sn 0.052 0.052 0.813
Pr1 Pr 0.369 0.369 0.641
Pr2 Pr 0.847 0.153 0.500
Pr3 Pr 0.225 0.775 0.000
Pr4 Pr 0.631 0.631 0.359
Pr5 Pr 0.775 0.225 0.000
Pr6 Pr 0.153 0.847 0.500


Which of these has the lowest electronic total energy?
PmPuBiPb


Which formula does entry 5 have?
CuHO2F